[1]
CeFeCo: optimized geometry, PBE-GGA.

The structure in POSCAR format:
```
CeFeCo
1.0
-2.413 2.611 3.622
2.413 -2.611 3.622
2.413 2.611 -3.622
Ce Fe Co
2 2 2
Cartesian
0.000 1.305 0.890
2.413 1.305 2.731
1.207 1.305 -1.811
1.207 -1.305 1.811
2.413 0.000 0.000
0.000 0.000 3.622
```

space-group type: No. 74
density of states at the Fermi level: 1.348 states/eV/atom
formation energy: -0.49 eV per formula unit



[2]
NaYBeW2: optimized geometry, PBE-GGA.

The structure in POSCAR format:
```
NaYBeW2
1.0
4.348 0.000 0.000
0.000 4.348 0.000
0.000 0.000 5.197
Na Y Be W
1 1 1 2
Cartesian
0.000 0.000 0.000
2.174 2.174 0.000
2.174 2.174 2.598
0.000 2.174 2.598
2.174 0.000 2.598
```

space-group type: No. 123
density of states at the Fermi level: 0.986 states/eV/atom
formation energy: 5.28 eV per formula unit